The following is a DFT calculation (GGA-PBE) of a geometry-optimized ZrCd2Fe structure.

abc: 10.8687 10.8687 10.8687
angles: 159.50 159.50 29.16
Positions (direct):
Zr1 0.0000 0.0000 0.0000
Zr2 0.7500 0.2500 0.5000
Cd1 0.1366 0.6250 0.0116
Cd2 0.3750 0.3866 0.5116
Cd3 0.6134 0.1250 0.9884
Cd4 0.8750 0.8634 0.4884
Fe1 0.2500 0.7500 0.5000
Fe2 0.5000 0.5000 0.0000

Summary:
**Size of the total moment**: 0.0 μB per formula unit
**E_form**: 477 meV per atom

---

The following is a DFT calculation (GGA-PBE) of a geometry-optimized ZrCd3Fe structure.

abc: 5.5439 5.5439 5.5439
angles: 90.00 90.00 90.00
Positions (direct):
Zr1 0.0000 0.0000 0.0000
Cd1 0.0000 0.0000 0.5000
Cd2 0.0000 0.5000 0.0000
Cd3 0.5000 0.0000 0.0000
Fe1 0.5000 0.5000 0.5000

Summary:
**Size of the total moment**: 1.7 μB per formula unit
**Energy relative to the lowest polymorph listed for this composition**: 3.43 eV/f.u.
**E_form**: 1449 meV per atom

---

The following is a DFT calculation (GGA-PBE) of a geometry-optimized ZrCd2Fe structure.

abc: 5.6282 5.6282 5.6282
angles: 146.68 127.11 63.96
Positions (direct):
Zr1 0.0000 0.0000 0.0000
Cd1 0.4440 0.4440 0.0000
Cd2 0.7153 0.2153 0.5000
Fe1 0.2104 0.7104 0.5000

Summary:
**Size of the total moment**: 1.6 μB per formula unit
**E_form**: 154 meV per atom

---

The following is a DFT calculation (GGA-PBE) of a geometry-optimized ZrCdFe3 structure.

abc: 4.6291 4.6291 4.6291
angles: 90.00 90.00 90.00
Positions (direct):
Zr1 0.0000 0.0000 0.0000
Cd1 0.5000 0.5000 0.5000
Fe1 0.0000 0.0000 0.5000
Fe2 0.0000 0.5000 0.0000
Fe3 0.5000 0.0000 0.0000

Summary:
**Size of the total moment**: 5.7 μB per formula unit
**Energy relative to the lowest polymorph listed for this composition**: 0.00 eV/f.u.
**E_form**: 1371 meV per atom

---

The following is a DFT calculation (GGA-PBE) of a geometry-optimized ZrCd3Fe structure.

abc: 4.8321 4.8321 4.8321
angles: 90.00 90.00 90.00
Positions (direct):
Zr1 0.0000 0.0000 0.0000
Cd1 0.0000 0.5000 0.5000
Cd2 0.5000 0.0000 0.5000
Cd3 0.5000 0.5000 0.0000
Fe1 0.5000 0.5000 0.5000

Summary:
**Size of the total moment**: 0.0 μB per formula unit
**Energy relative to the lowest polymorph listed for this composition**: 0.00 eV/f.u.
**E_form**: 762 meV per atom

---

The following is a DFT calculation (GGA-PBE) of a geometry-optimized ZrCd2Fe structure.

abc: 9.4549 9.4549 9.4549
angles: 19.22 19.22 19.22
Positions (direct):
Zr1 0.0000 0.0000 0.0000
Cd1 0.5246 0.5246 0.5246
Cd2 0.7618 0.7618 0.7618
Fe1 0.2687 0.2687 0.2687

Summary:
**Size of the total moment**: 1.3 μB per formula unit
**E_form**: 181 meV per atom

---

The following is a DFT calculation (GGA-PBE) of a geometry-optimized ZrCdFe structure.

abc: 6.8639 6.8639 5.0545
angles: 103.13 103.13 28.74
Positions (direct):
Zr1 0.1467 0.1467 0.3378
Zr2 0.8533 0.8533 0.6622
Cd1 0.4348 0.4348 0.2119
Cd2 0.5652 0.5652 0.7881
Fe1 0.2375 0.2375 0.8553
Fe2 0.7625 0.7625 0.1447

Summary:
**Size of the total moment**: 0.8 μB per formula unit
**Energy relative to the lowest polymorph listed for this composition**: 0.00 eV/f.u.
**E_form**: -51 meV per atom

---

The following is a DFT calculation (GGA-PBE) of a geometry-optimized ZrCd2Fe structure.

abc: 5.3806 5.3806 5.0962
angles: 111.41 111.41 34.44
Positions (direct):
Zr1 0.0000 0.0000 0.0000
Cd1 0.5540 0.5540 0.5441
Cd2 0.7849 0.7849 0.3162
Fe1 0.2850 0.2850 0.8320

Summary:
**Size of the total moment**: 1.6 μB per formula unit
**E_form**: 149 meV per atom

---

The following is a DFT calculation (GGA-PBE) of a geometry-optimized ZrCdFe structure.

abc: 4.7314 4.7314 2.8262
angles: 90.00 90.00 120.00
Positions (direct):
Zr1 0.0000 0.0000 0.0000
Cd1 0.6667 0.3333 0.5005
Fe1 0.3333 0.6667 0.4985

Summary:
**Size of the total moment**: 2.3 μB per formula unit
**Energy relative to the lowest polymorph listed for this composition**: 0.68 eV/f.u.
**E_form**: 176 meV per atom

---

The following is a DFT calculation (GGA-PBE) of a geometry-optimized ZrCd2Fe structure.

abc: 5.5074 5.5074 2.8536
angles: 90.00 90.00 116.89
Positions (direct):
Zr1 0.0000 0.0000 0.0000
Cd1 0.0000 0.5000 0.5000
Cd2 0.5000 0.0000 0.5000
Fe1 0.5000 0.5000 0.0000

Summary:
**Size of the total moment**: 2.0 μB per formula unit
**E_form**: 233 meV per atom

---

The following is a DFT calculation (GGA-PBE) of a geometry-optimized ZrCdFe structure.

abc: 4.3829 4.3829 4.3829
angles: 60.00 60.00 60.00
Positions (direct):
Zr1 0.0000 0.0000 0.0000
Cd1 0.5000 0.5000 0.5000
Fe1 0.2500 0.2500 0.2500

Summary:
**Size of the total moment**: 0.1 μB per formula unit
**Energy relative to the lowest polymorph listed for this composition**: 1.25 eV/f.u.
**E_form**: 365 meV per atom

---

The following is a DFT calculation (GGA-PBE) of a geometry-optimized ZrCd2Fe structure.

abc: 10.1786 10.1786 10.1786
angles: 16.82 16.82 16.82
Positions (direct):
Zr1 0.0000 0.0000 0.0000
Cd1 0.2424 0.2424 0.2424
Cd2 0.7576 0.7576 0.7576
Fe1 0.5000 0.5000 0.5000

Summary:
**Size of the total moment**: 2.8 μB per formula unit
**E_form**: 233 meV per atom

---

Q: E_form of number 10 (ZrCd2Fe)?
A: 233 meV per atom